(1)
DFT (PBE) results for a relaxed CaAlRh crystal.

Lattice parameters (Å, degrees): 4.517 4.517 4.517 60.00 60.00 60.00
Fractional positions:
Ca1 0.500 0.500 0.500
Rh1 0.750 0.750 0.750
Al1 0.000 0.000 0.000

energy relative to the elements = -364 meV per atom
SG = F-43m

---

(2)
DFT (PBE) results for a relaxed Y4GeAsS2 crystal.

Lattice parameters (Å, degrees): 4.053 6.982 7.022 70.48 90.00 90.00
Fractional positions:
Y1 0.000 0.748 0.748
Y2 0.000 0.252 0.252
Y3 0.500 0.748 0.253
Y4 0.500 0.252 0.747
Ge1 0.000 0.500 0.500
As1 0.500 0.500 0.000
S1 0.000 0.000 0.000
S2 0.500 0.000 0.500

formation energy without anion corrections = -1280 kJ/mol of formula units
SG = P2/m

---

(3)
DFT (PBE) results for a relaxed HfNbAg crystal.

Lattice parameters (Å, degrees): 3.425 3.427 9.786 89.99 89.95 90.00
Fractional positions:
Hf1 0.872 0.291 0.504
Hf2 0.373 0.791 0.009
Nb1 0.873 0.291 0.833
Nb2 0.372 0.791 0.679
Ag1 0.872 0.291 0.177
Ag2 0.372 0.791 0.335

energy relative to the elements = -86 meV per atom
SG = P2_1/m
energy above the lowest structure with this stoichiometry = 0 meV/atom

---

> Number 3 is which compound?

HfNbAg